This record from the Alexandria database describes a relaxed TmPuPa crystal. The functional is PBE.

Summary:
Final energy   -9.3000 eV/atom
Energy relative to the lowest polymorph listed for this composition   18 meV per atom
Space-group type   P3m1, No. 156
Formation energy from the elements   13 kJ/mol of atoms
Magnetic moment   5.8 Bohr magnetons per cell

```
3
Lattice="3.367 0.000 0.000 -1.683 2.916 0.000 0.000 0.000 8.134" Properties=species:S:1:pos:R:3 pbc="T T T"
Pu 0.000 1.944 5.282
Pa 1.683 0.972 2.785
Tm 0.000 0.000 0.068
```